No. 1
! Pm5SmDy3 (PBE-GGA, relaxed); values from VASP
! * formation enthalpy at 0 K: 0.291 eV/atom
! * total moment: 0.00 μB per formula unit
! * final energy: -4.41 eV/atom
! * DOS at the Fermi energy: 1.47 states/eV per atom
! * polymorph energy (0 for the lowest one): 11.7 kJ/mol of atoms
&SYSTEM
  ibrav = 0, nat = 18, ntyp = 3
/
ATOMIC_SPECIES
Pm 145.00 Pm.upf
Sm 150.36 Sm.upf
Dy 162.50 Dy.upf
ATOMIC_POSITIONS angstrom
Pm 0.000 0.000 0.000
Pm 5.990 1.725 -2.312
Pm 1.725 2.540 -2.312
Pm 5.990 1.725 2.312
Pm 1.725 2.540 2.312
Pm 0.000 0.000 8.348
Pm 2.540 1.725 6.037
Pm -1.725 2.540 6.037
Pm 2.540 1.725 10.660
Pm -1.725 2.540 10.660
Sm 4.265 0.000 4.174
Sm 0.000 4.265 4.174
Dy 3.215 1.050 0.000
Dy 0.000 0.000 4.174
Dy 3.215 -1.050 8.348
Dy 1.050 5.315 0.000
Dy 0.000 0.000 12.522
Dy 1.050 3.215 8.348
CELL_PARAMETERS angstrom
-4.265 4.265 8.348
4.265 -4.265 8.348
4.265 4.265 -8.348

No. 2
! Pm2Sm2Dy (PBE-GGA, relaxed); values from VASP
! * formation enthalpy at 0 K: 0.134 eV/atom
! * total moment: 0.00 μB per formula unit
! * final energy: -4.57 eV/atom
! * DOS at the Fermi energy: 1.49 states/eV per atom
! * polymorph energy (0 for the lowest one): 6.1 kJ/mol of atoms
&SYSTEM
  ibrav = 0, nat = 10, ntyp = 3
/
ATOMIC_SPECIES
Pm 145.00 Pm.upf
Sm 150.36 Sm.upf
Dy 162.50 Dy.upf
ATOMIC_POSITIONS angstrom
Pm 1.818 1.449 -6.671
Pm 0.000 1.449 6.204
Pm 1.818 1.449 9.917
Pm 0.000 1.449 22.792
Sm 1.818 -1.449 12.290
Sm 1.818 -1.449 15.445
Sm 0.000 4.346 0.677
Sm 0.000 4.346 3.832
Dy 1.818 1.449 2.511
Dy 0.000 1.449 13.610
CELL_PARAMETERS angstrom
-1.818 2.897 16.121
1.818 -2.897 16.121
1.818 2.897 -16.121

No. 3
! Pm2Sm5Dy2 (PBE-GGA, relaxed); values from VASP
! * formation enthalpy at 0 K: 0.100 eV/atom
! * total moment: 0.00 μB per formula unit
! * final energy: -4.60 eV/atom
! * DOS at the Fermi energy: 1.57 states/eV per atom
! * polymorph energy (0 for the lowest one): 0.0 kJ/mol of atoms
&SYSTEM
  ibrav = 0, nat = 9, ntyp = 3
/
ATOMIC_SPECIES
Pm 145.00 Pm.upf
Sm 150.36 Sm.upf
Dy 162.50 Dy.upf
ATOMIC_POSITIONS angstrom
Pm 1.082 0.000 1.703
Pm 16.963 0.000 7.135
Sm 4.003 0.000 7.356
Sm 7.577 0.000 1.271
Sm 9.023 0.000 4.419
Sm 10.468 0.000 7.567
Sm 14.042 0.000 1.482
Dy 5.621 0.000 4.284
Dy 12.425 0.000 4.554
CELL_PARAMETERS angstrom
9.717 -1.769 0.000
9.717 1.769 0.000
-1.390 0.000 8.838

No. 4
! Pm8Sm3Dy4 (PBE-GGA, relaxed); values from VASP
! * formation enthalpy at 0 K: 0.335 eV/atom
! * total moment: 0.00 μB per formula unit
! * final energy: -4.37 eV/atom
! * DOS at the Fermi energy: 1.60 states/eV per atom
&SYSTEM
  ibrav = 0, nat = 15, ntyp = 3
/
ATOMIC_SPECIES
Pm 145.00 Pm.upf
Sm 150.36 Sm.upf
Dy 162.50 Dy.upf
ATOMIC_POSITIONS angstrom
Pm 6.975 3.613 0.000
Pm 2.213 0.000 1.153
Pm 1.063 0.000 4.418
Pm 5.292 3.015 3.016
Pm 5.292 -3.015 3.016
Pm 9.520 0.000 1.615
Pm 8.370 0.000 4.880
Pm 6.975 -3.613 0.000
Sm -1.683 0.000 3.016
Sm 3.487 3.047 0.000
Sm 3.487 -3.047 0.000
Dy 1.804 3.047 3.016
Dy 1.804 -3.047 3.016
Dy 6.975 0.000 0.000
Dy 5.292 0.000 3.016
CELL_PARAMETERS angstrom
6.975 -6.095 0.000
6.975 6.095 0.000
-3.367 0.000 6.033

What did the first record say?
! Pm5SmDy3 (PBE-GGA, relaxed); values from VASP
! * formation enthalpy at 0 K: 0.291 eV/atom
! * total moment: 0.00 μB per formula unit
! * final energy: -4.41 eV/atom
! * DOS at the Fermi energy: 1.47 states/eV per atom
! * polymorph energy (0 for the lowest one): 11.7 kJ/mol of atoms
&SYSTEM
  ibrav = 0, nat = 18, ntyp = 3
/
ATOMIC_SPECIES
Pm 145.00 Pm.upf
Sm 150.36 Sm.upf
Dy 162.50 Dy.upf
ATOMIC_POSITIONS angstrom
Pm 0.000 0.000 0.000
Pm 5.990 1.725 -2.312
Pm 1.725 2.540 -2.312
Pm 5.990 1.725 2.312
Pm 1.725 2.540 2.312
Pm 0.000 0.000 8.348
Pm 2.540 1.725 6.037
Pm -1.725 2.540 6.037
Pm 2.540 1.725 10.660
Pm -1.725 2.540 10.660
Sm 4.265 0.000 4.174
Sm 0.000 4.265 4.174
Dy 3.215 1.050 0.000
Dy 0.000 0.000 4.174
Dy 3.215 -1.050 8.348
Dy 1.050 5.315 0.000
Dy 0.000 0.000 12.522
Dy 1.050 3.215 8.348
CELL_PARAMETERS angstrom
-4.265 4.265 8.348
4.265 -4.265 8.348
4.265 4.265 -8.348

Which of these has the lowest DOS at the Fermi energy? Pm5SmDy3

Look up the DOS at the Fermi energy of the fourth one. 1.60 states/eV per atom

Which value of total moment does entry 3 give? 0.00 μB per formula unit